1.
The following is a DFT calculation (GGA-PBE) of Mg6Cd12In after structural relaxation.

ΔE_f   -32 meV per atom
Spin magnetization   0.00 μB/cell
N(E_F)   7.0 states/eV/f.u.
VASP energy   -1.26 eV per atom

Cell lengths 10.9025, 10.9025, 12.5929 Å; angles 90.00, 90.00, 120.00 degrees
Space group R-3 (No. 148, hexagonal axes)
Asymmetric unit:
Mg 0.0203 0.5860 0.2045 (multiplicity 18)
Cd 0.0395 0.8498 0.3085 (multiplicity 18)
Cd 0.0616 0.2133 0.9129 (multiplicity 18)
In 0.0000 0.0000 0.5000 (multiplicity 3)



2.
The following is a DFT calculation (GGA-PBE) of MgCd6In12 after structural relaxation.

E above lowest polymorph   0 meV per atom
ΔE_f   30 meV per atom
Spin magnetization   0.00 μB/cell
N(E_F)   9.8 states/eV/f.u.
VASP energy   -2.07 eV per atom

Cell lengths 13.5386, 13.5386, 9.4096 Å; angles 90.00, 90.00, 120.00 degrees
Space group R-3 (No. 148, hexagonal axes)
Asymmetric unit:
Mg 0.0000 0.0000 0.0000 (multiplicity 3)
Cd 0.0045 0.1323 0.7182 (multiplicity 18)
In 0.0306 0.2617 0.4118 (multiplicity 18)
In 0.0651 0.5651 0.6441 (multiplicity 18)



3.
The following is a DFT calculation (GGA-PBE) of Mg4Cd3In4 after structural relaxation.

ΔE_f   -12 meV per atom
Spin magnetization   0.00 μB/cell
N(E_F)   4.0 states/eV/f.u.
VASP energy   -1.84 eV per atom

Cell lengths 9.1126, 4.4474, 13.3387 Å; angles 90.00, 90.00, 90.00 degrees
Space group Amm2 (No. 38)
Asymmetric unit:
Mg 0.0000 0.0000 0.0000 (multiplicity 2)
Mg 0.2469 0.0000 0.8302 (multiplicity 4)
Mg 0.5000 0.0000 0.9928 (multiplicity 2)
Cd 0.0000 0.0000 0.3412 (multiplicity 2)
Cd 0.2644 0.0000 0.4848 (multiplicity 4)
In 0.0000 0.0000 0.6641 (multiplicity 2)
In 0.2524 0.0000 0.1627 (multiplicity 4)
In 0.5000 0.0000 0.6787 (multiplicity 2)



4.
The following is a DFT calculation (GGA-PBE) of Mg14CdIn after structural relaxation.

ΔE_f   -27 meV per atom
Spin magnetization   0.00 μB/cell
N(E_F)   8.7 states/eV/f.u.
VASP energy   -1.65 eV per atom

Cell lengths 6.5086, 6.5086, 8.5976 Å; angles 90.00, 90.00, 90.00 degrees
Space group P4/mmm (No. 123)
Asymmetric unit:
Mg 0.0000 0.0000 0.0000 (multiplicity 1)
Mg 0.0000 0.5000 0.0000 (multiplicity 2)
Mg 0.0000 0.5000 0.5000 (multiplicity 2)
Mg 0.2483 0.2483 0.2529 (multiplicity 8)
Mg 0.5000 0.5000 0.0000 (multiplicity 1)
Cd 0.0000 0.0000 0.5000 (multiplicity 1)
In 0.5000 0.5000 0.5000 (multiplicity 1)



5.
The following is a DFT calculation (GGA-PBE) of Mg12CdIn6 after structural relaxation.

E above lowest polymorph   0 meV per atom
ΔE_f   -20 meV per atom
Spin magnetization   0.00 μB/cell
N(E_F)   8.2 states/eV/f.u.
VASP energy   -1.94 eV per atom

Cell lengths 10.9464, 10.9464, 13.1361 Å; angles 90.00, 90.00, 120.00 degrees
Space group R-3 (No. 148, hexagonal axes)
Asymmetric unit:
Mg 0.0353 0.1840 0.3156 (multiplicity 18)
Mg 0.0633 0.8473 0.9136 (multiplicity 18)
Cd 0.0000 0.0000 0.5000 (multiplicity 3)
In 0.0134 0.4304 0.2030 (multiplicity 18)



6.
The following is a DFT calculation (GGA-PBE) of Mg3Cd2In2 after structural relaxation.

E above lowest polymorph   6 meV per atom
ΔE_f   -46 meV per atom
Spin magnetization   0.00 μB/cell
N(E_F)   2.3 states/eV/f.u.
VASP energy   -1.77 eV per atom

Cell lengths 3.2985, 7.4060, 7.5172 Å; angles 66.79, 89.27, 77.75 degrees
Space group P-1 (No. 2)
Asymmetric unit:
Mg 0.0000 0.0000 0.0000 (multiplicity 1)
Mg 0.3006 0.4099 0.7222 (multiplicity 2)
Cd 0.0810 0.8394 0.4290 (multiplicity 2)
In 0.3663 0.2710 0.1692 (multiplicity 2)